# 1
First-principles (PBE) data for an optimized crystal structure of Li7ErAg4, as listed in the Alexandria database.

abc: 4.9079 7.3740 7.1666
angles: 71.64 69.98 70.56
Closest atoms and distances in Å follow each position.
Atoms (fractional coordinates):
Li  0.7789  0.8829  0.5593  2 Ag 2.73-2.80, 4 Li 2.95-3.05
Li  0.5000  0.0000  0.0000  2 Er 2.45, 4 Ag 2.47-2.55
Li  0.2211  0.1171  0.4407  2 Ag 2.73-2.80, 4 Li 2.95-3.05
Li  0.6968  0.3504  0.2560  4 Ag 2.56-2.86
Li  0.3032  0.6496  0.7440  4 Ag 2.56-2.86
Li  0.9363  0.4218  0.7056  3 Ag 2.62-2.80, 1 Li 2.74
Li  0.0637  0.5782  0.2944  3 Ag 2.62-2.80, 1 Li 2.74
Ag  0.4491  0.7560  0.3458  5 Li 2.55-2.80, 1 Ag 2.84
Ag  0.6918  0.6560  0.9604  3 Li 2.47-2.62
Ag  0.3082  0.3440  0.0396  3 Li 2.47-2.62
Ag  0.5509  0.2440  0.6542  5 Li 2.55-2.80, 1 Ag 2.84
Er  0.0000  0.0000  0.0000  2 Li 2.45

Output
ΔE_f in eV per atom: 0.0192
Final energy in eV/atom: -2.428
Crystal system: monoclinic
Space group: C2/m
Total magnetization in μB per formula unit: 0.00

---

# 2
First-principles (PBE) data for an optimized crystal structure of CrRu2W, as listed in the Alexandria database.

abc: 4.1098 2.7437 5.1953
angles: 75.93 90.00 90.00
Closest atoms and distances in Å follow each position.
Atoms (fractional coordinates):
Ru  0.0000  0.9725  0.9586  4 Cr 2.58-2.71, 3 W 2.66-2.80, 2 Ru 2.74
Ru  0.5000  0.2856  0.2800  2 Cr 2.57-2.77, 4 W 2.62-2.76, 2 Ru 2.74
W  0.0000  0.6381  0.4899  2 Cr 2.51, 7 Ru 2.62-2.80, 2 W 2.74
Cr  0.5000  0.6038  0.7715  2 W 2.51, 6 Ru 2.57-2.77, 2 Cr 2.74

Output
ΔE_f in eV per atom: 0.1697
Final energy in eV/atom: -10.112
Crystal system: monoclinic
Space group: Pm
Total magnetization in μB per formula unit: 0.00

---

# 3
First-principles (PBE) data for an optimized crystal structure of LiUAlRu, as listed in the Alexandria database.

abc: 4.5871 4.5871 4.5871
angles: 60.00 60.00 60.00
Closest atoms and distances in Å follow each position.
Atoms (fractional coordinates):
Ru  0.2500  0.2500  0.2500  4 Al 2.81, 4 U 2.81
U  0.5000  0.5000  0.5000  4 Ru 2.81, 4 Li 2.81
Al  0.0000  0.0000  0.0000  4 Li 2.81, 4 Ru 2.81
Li  0.7500  0.7500  0.7500  4 U 2.81, 4 Al 2.81

Output
ΔE_f in eV per atom: -0.0630
Final energy in eV/atom: -6.618
Crystal system: cubic
Space group: F-43m
Total magnetization in μB per formula unit: 1.95

---

# 4
First-principles (PBE) data for an optimized crystal structure of MgIn6Sn, as listed in the Alexandria database.

abc: 4.8376 4.8376 8.9515
angles: 90.00 90.00 90.00
Closest atoms and distances in Å follow each position.
Atoms (fractional coordinates):
In  0.0000  0.5000  0.2573  8 In 3.25-3.42, 2 Mg 3.25, 2 Sn 3.34
In  0.5000  0.0000  0.7427  2 Mg 3.25, 8 In 3.25-3.42, 2 Sn 3.34
In  0.5000  0.5000  0.0000  8 In 3.34, 4 Sn 3.42
In  0.5000  0.5000  0.5000  8 In 3.25, 4 Mg 3.42
In  0.5000  0.0000  0.2573  2 Mg 3.25, 8 In 3.25-3.42, 2 Sn 3.34
In  0.0000  0.5000  0.7427  8 In 3.25-3.42, 2 Mg 3.25, 2 Sn 3.34
Sn  0.0000  0.0000  0.0000  12 In 3.34-3.42
Mg  0.0000  0.0000  0.5000  12 In 3.25-3.42

Output
ΔE_f in eV per atom: 0.0068
Final energy in eV/atom: -2.747
Crystal system: tetragonal
Space group: P4/mmm
Total magnetization in μB per formula unit: 0.00

---

Q: The highest total magnetization belongs to which entry?
A: LiUAlRu